w | Computed, not measured: a relaxed structure of SrPuBr4 at the PBE-GGA level of DFT.

Cell: 8.483 8.483 8.483 Å, 107.11 107.11 114.30°
Each line ends with the local moment (μB).
Positions (direct):
Pu 0.503 0.003 0.500  5.82
Pu 0.753 0.753 0.000  5.82
Br 0.308 0.504 0.804  -0.01
Br 0.254 0.950 0.696  -0.01
Br 0.254 0.558 0.304  -0.01
Br 0.700 0.504 0.196  -0.01
Br 0.796 0.995 0.800  -0.02
Br 0.745 0.046 0.300  -0.02
Br 0.745 0.445 0.700  -0.02
Br 0.195 0.995 0.200  -0.02
Sr 0.999 0.499 0.500  0.01
Sr 0.249 0.249 0.000  0.01

Summary:
For the volume, the calculation gives 38.954 Å³ per atom.



x | Computed, not measured: a relaxed structure of SrPuBr4 at the PBE-GGA level of DFT.

Cell: 4.465 9.612 11.597 Å, 80.07 78.90 76.57°
Each line ends with the local moment (μB).
Positions (direct):
Br 0.816 0.303 0.564  -0.01
Br 0.939 0.443 0.178  -0.03
Br 0.684 0.197 0.936  -0.01
Br 0.316 0.803 0.064  -0.01
Br 0.184 0.697 0.436  -0.01
Br 0.440 0.943 0.678  -0.03
Br 0.061 0.557 0.822  -0.03
Br 0.560 0.057 0.322  -0.03
Pu 0.500 0.500 0.000  5.77
Pu 0.000 0.000 0.500  5.77
Sr 0.750 0.750 0.250  0.02
Sr 0.250 0.250 0.750  0.02

Summary:
For the volume, the calculation gives 39.225 Å³ per atom.



Quick one: most stable of them? x



w | Computed, not measured: a relaxed structure of Pu2TeBr at the PBE-GGA level of DFT.

Cell: 4.404 4.404 7.238 Å, 72.29 72.29 60.00°
Each line ends with the local moment (μB).
Positions (direct):
Te 0.000 0.000 0.000  -0.08
Br 0.500 0.500 0.500  -0.04
Pu 0.755 0.755 0.735  5.71
Pu 0.245 0.245 0.265  5.71

Summary:
For the volume, the calculation gives 28.453 Å³ per atom.



x | Computed, not measured: a relaxed structure of Pu2TeBr at the PBE-GGA level of DFT.

Cell: 3.983 3.983 8.709 Å, 76.78 76.78 60.00°
Each line ends with the local moment (μB).
Positions (direct):
Pu 0.252 0.252 0.243  5.70
Pu 0.082 0.082 0.755  -5.64
Te 0.668 0.668 0.997  0.01
Br 0.499 0.499 0.504  0.01

Summary:
For the volume, the calculation gives 28.852 Å³ per atom.



y | Computed, not measured: a relaxed structure of Pu2TeBr at the PBE-GGA level of DFT.

Cell: 5.326 5.326 5.326 Å, 60.00 60.00 60.00°
Each line ends with the local moment (μB).
Positions (direct):
Br 0.500 0.500 0.500  -0.04
Te 0.000 0.000 0.000  -0.09
Pu 0.750 0.750 0.750  5.90
Pu 0.250 0.250 0.250  5.90

Summary:
For the volume, the calculation gives 26.708 Å³ per atom.



Quick one: most stable of them? w



w | Computed, not measured: a relaxed structure of PuTeBr at the PBE-GGA level of DFT.

Cell: 4.373 7.587 8.345 Å, 61.74 74.92 90.01°
Each line ends with the local moment (μB).
Positions (direct):
Te 0.127 0.456 0.747  -0.17
Te 0.873 0.544 0.253  -0.17
Pu 0.250 0.254 0.501  5.21
Pu 0.750 0.746 0.499  5.21
Br 0.639 0.965 0.723  -0.07
Br 0.361 0.035 0.277  -0.07

Summary:
For the volume, the calculation gives 38.835 Å³ per atom.



x | Computed, not measured: a relaxed structure of PuTeBr at the PBE-GGA level of DFT.

Cell: 4.119 4.961 4.961 Å, 120.00 90.00 90.00°
Each line ends with the local moment (μB).
Positions (direct):
Te 0.667 0.667 0.333  -0.19
Pu 0.168 0.000 0.000  5.25
Br 0.166 0.333 0.667  -0.09

Summary:
For the volume, the calculation gives 29.265 Å³ per atom.



Quick one: most stable of them? w



w | Computed, not measured: a relaxed structure of Pu2TlBr8 at the PBE-GGA level of DFT.

Cell: 5.688 9.927 9.927 Å, 120.00 90.00 90.00°
Each line ends with the local moment (μB).
Positions (direct):
Br 0.766 0.824 0.648  -0.08
Br 0.766 0.352 0.176  -0.08
Br 0.234 0.176 0.352  -0.08
Br 0.261 0.667 0.333  -0.09
Br 0.234 0.648 0.824  -0.08
Br 0.766 0.824 0.176  -0.08
Br 0.234 0.176 0.824  -0.08
Br 0.739 0.333 0.667  -0.09
Pu 0.759 0.667 0.333  4.80
Pu 0.241 0.333 0.667  4.80
Tl 0.500 0.000 0.000  -0.01

Summary:
For the volume, the calculation gives 44.129 Å³ per atom.



x | Computed, not measured: a relaxed structure of Pu2TlBr8 at the PBE-GGA level of DFT.

Cell: 8.184 7.889 7.889 Å, 66.28 79.34 79.34°
Each line ends with the local moment (μB).
Positions (direct):
Br 0.646 0.889 0.342  -0.06
Br 0.255 0.642 0.642  -0.10
Br 0.745 0.358 0.358  -0.10
Br 0.202 0.186 0.186  -0.08
Br 0.798 0.814 0.814  -0.08
Br 0.354 0.658 0.111  -0.06
Br 0.354 0.111 0.658  -0.06
Br 0.646 0.342 0.889  -0.06
Tl 0.000 0.000 0.000  -0.01
Pu 0.516 0.735 0.735  4.82
Pu 0.484 0.265 0.265  4.82

Summary:
For the volume, the calculation gives 41.349 Å³ per atom.



Quick one: most stable of them? x



w | Computed, not measured: a relaxed structure of PuTlBr4 at the PBE-GGA level of DFT.

Cell: 7.120 8.582 8.591 Å, 113.72 107.29 103.57°
Each line ends with the local moment (μB).
Positions (direct):
Br 0.361 0.942 0.676  -0.04
Br 0.361 0.665 0.878  -0.04
Br 0.639 0.335 0.122  -0.04
Br 0.639 0.058 0.324  -0.04
Br 0.016 0.213 0.878  -0.04
Br 0.185 0.266 0.324  -0.04
Br 0.815 0.734 0.676  -0.04
Br 0.984 0.787 0.122  -0.04
Pu 0.738 0.988 0.975  5.08
Pu 0.262 0.012 0.025  5.08
Tl 0.385 0.635 0.271  0.00
Tl 0.615 0.365 0.729  0.00

Summary:
For the volume, the calculation gives 34.961 Å³ per atom.



x | Computed, not measured: a relaxed structure of PuTlBr4 at the PBE-GGA level of DFT.

Cell: 4.416 6.988 8.478 Å, 102.84 89.99 108.45°
Each line ends with the local moment (μB).
Positions (direct):
Pu 0.000 0.000 0.000  5.10
Tl 0.500 0.000 0.500  0.00
Br 0.619 0.238 0.907  -0.05
Br 0.123 0.246 0.321  -0.04
Br 0.380 0.762 0.093  -0.05
Br 0.876 0.754 0.679  -0.04

Summary:
For the volume, the calculation gives 40.215 Å³ per atom.



Quick one: most stable of them? x



w | Computed, not measured: a relaxed structure of PuTl3Br8 at the PBE-GGA level of DFT.

Cell: 7.496 7.496 9.104 Å, 114.31 114.31 90.00°
Each line ends with the local moment (μB).
Positions (direct):
Tl 0.750 0.250 0.500  0.06
Tl 0.500 0.500 0.000  0.05
Tl 0.250 0.750 0.500  0.06
Br 0.344 0.344 0.231  0.13
Br 0.656 0.112 0.769  0.13
Br 0.656 0.656 0.769  0.13
Br 0.112 0.112 0.769  0.13
Br 0.344 0.888 0.231  0.13
Br 0.888 0.344 0.231  0.13
Br 0.112 0.656 0.769  0.13
Br 0.888 0.888 0.231  0.13
Pu 0.000 0.000 0.000  -4.60

Summary:
For the volume, the calculation gives 34.660 Å³ per atom.



x | Computed, not measured: a relaxed structure of PuTl3Br8 at the PBE-GGA level of DFT.

Cell: 7.841 7.841 9.276 Å, 90.00 90.00 115.39°
Each line ends with the local moment (μB).
Positions (direct):
Br 0.708 0.292 0.500  0.09
Br 0.750 0.250 0.000  0.01
Br 0.250 0.750 0.000  0.01
Br 0.741 0.728 0.291  0.09
Br 0.259 0.272 0.291  0.09
Br 0.728 0.741 0.709  0.09
Br 0.292 0.708 0.500  0.09
Br 0.272 0.259 0.709  0.09
Tl 0.500 0.500 0.000  0.01
Tl 0.000 0.500 0.226  0.01
Tl 0.500 0.000 0.774  0.01
Pu 0.500 0.500 0.500  -4.46

Summary:
For the volume, the calculation gives 42.936 Å³ per atom.



Quick one: most stable of them? x